Record 1
Material: LiCaNb
Method: DFT, PBE-GGA
State: optimized geometry

## Properties
calculated volume	69.7	Å³/f.u.
energy above the most stable polymorph in this dataset	171.6	meV/atom
formation enthalpy at 0 K	0.36	eV per atom
symmetry	P-3m1
total magnetization	0.0	μB per formula unit

a b c (Å): 4.834 4.834 6.890
angles (deg): 90.00 90.00 120.00
Fractional coordinates of all 6 atoms:
Li  0.333  0.667  0.002
Li  0.667  0.333  0.998
Ca  0.000  0.000  0.259
Ca  0.000  0.000  0.741
Nb  0.333  0.667  0.500
Nb  0.667  0.333  0.500

Record 2
Material: LiCaNb
Method: DFT, PBE-GGA
State: optimized geometry

## Properties
calculated volume	76.4	Å³/f.u.
energy above the most stable polymorph in this dataset	569.1	meV/atom
formation enthalpy at 0 K	0.76	eV per atom
symmetry	P-6m2
total magnetization	0.0	μB per formula unit

a b c (Å): 5.331 5.331 6.212
angles (deg): 90.00 90.00 120.00
Fractional coordinates of all 6 atoms:
Li  0.000  0.000  0.000
Li  0.000  0.000  0.500
Ca  0.667  0.333  0.242
Ca  0.667  0.333  0.758
Nb  0.333  0.667  0.182
Nb  0.333  0.667  0.818

Record 3
Material: LiCaNb
Method: DFT, PBE-GGA
State: optimized geometry

## Properties
calculated volume	75.6	Å³/f.u.
energy above the most stable polymorph in this dataset	54.0	meV/atom
formation enthalpy at 0 K	0.24	eV per atom
symmetry	P4mm
total magnetization	0.0	μB per formula unit

a b c (Å): 3.537 3.537 12.091
angles (deg): 90.00 90.00 90.00
Fractional coordinates of all 6 atoms:
Li  0.000  0.000  0.000
Li  0.000  0.000  0.383
Ca  0.500  0.500  0.196
Ca  0.500  0.500  0.801
Nb  0.000  0.000  0.617
Nb  0.500  0.500  0.525

Record 4
Material: LiCa2Nb
Method: DFT, PBE-GGA
State: optimized geometry

## Properties
calculated volume	111.8	Å³/f.u.
energy above the most stable polymorph in this dataset	216.8	meV/atom
formation enthalpy at 0 K	0.82	eV per atom
symmetry	I-42d
total magnetization	3.3	μB per formula unit

a b c (Å): 6.705 6.705 6.705
angles (deg): 103.58 103.58 122.04
Fractional coordinates of all 8 atoms:
Li  0.000  0.000  0.000
Li  0.750  0.250  0.500
Ca  0.101  0.625  0.976
Ca  0.375  0.351  0.476
Ca  0.649  0.125  0.024
Ca  0.875  0.899  0.524
Nb  0.250  0.750  0.500
Nb  0.500  0.500  0.000

Record 5
Material: LiCaNb2
Method: DFT, PBE-GGA
State: optimized geometry

## Properties
calculated volume	84.9	Å³/f.u.
energy above the most stable polymorph in this dataset	0.0	meV/atom
formation enthalpy at 0 K	0.69	eV per atom
symmetry	I-42d
total magnetization	0.0	μB per formula unit

a b c (Å): 11.604 11.604 11.604
angles (deg): 160.74 160.74 27.36
Fractional coordinates of all 8 atoms:
Li  0.000  0.000  0.000
Li  0.750  0.250  0.500
Ca  0.250  0.750  0.500
Ca  0.500  0.500  0.000
Nb  0.115  0.125  0.490
Nb  0.375  0.885  0.010
Nb  0.635  0.625  0.510
Nb  0.875  0.365  0.990

Record 6
Material: LiCa3Nb
Method: DFT, PBE-GGA
State: optimized geometry

## Properties
calculated volume	157.6	Å³/f.u.
energy above the most stable polymorph in this dataset	210.4	meV/atom
formation enthalpy at 0 K	1.03	eV per atom
symmetry	Pm-3m
total magnetization	0.0	μB per formula unit

a b c (Å): 5.402 5.402 5.402
angles (deg): 90.00 90.00 90.00
Fractional coordinates of all 5 atoms:
Li  0.000  0.000  0.000
Ca  0.000  0.000  0.500
Ca  0.000  0.500  0.000
Ca  0.500  0.000  0.000
Nb  0.500  0.500  0.500

| no. | mass density (g/cm3) |
| --- | --- |
| 1 | 3.3 |
| 2 | 3.0 |
| 3 | 3.1 |
| 4 | 2.7 |
| 5 | 4.6 |
| 6 | 2.3 |